(1)
A geometry-optimized Cs2Ca4Os structure. Source: Alexandria, functional PBE.

a b c (Å): 5.7890 5.7890 12.3961
angles (deg): 76.50 76.50 90.00
Atoms (fractional coordinates):
Cs  0.6775  0.6775  0.6449
Cs  0.3225  0.3225  0.3551
Ca  0.8877  0.8877  0.2247
Ca  0.1123  0.1123  0.7753
Ca  0.0000  0.5000  0.0000
Ca  0.5000  0.0000  0.0000
Os  0.0000  0.0000  0.0000

Output
- M_tot (μB per formula unit) = 0.00
- density of states at the Fermi level (states/eV/f.u.) = 7.2
- SG = I4/mmm (139)
- DFT formation energy (meV/atom) = 299


(2)
A geometry-optimized CsCaSiOs2 structure. Source: Alexandria, functional PBE.

a b c (Å): 5.0499 5.2499 5.0499
angles (deg): 90.00 90.00 90.00
Atoms (fractional coordinates):
Cs  0.0000  0.0000  0.0000
Ca  0.5000  0.5000  0.5000
Os  0.0000  0.0000  0.5000
Os  0.5000  0.0000  0.0000
Si  0.0000  0.5000  0.0000

Output
- M_tot (μB per formula unit) = 0.00
- density of states at the Fermi level (states/eV/f.u.) = 7.2
- SG = P4/mmm (123)
- E_form (uncorrected) (meV/atom) = 2750


(3)
A geometry-optimized CsCaP structure. Source: Alexandria, functional PBE.

a b c (Å): 11.2510 7.6566 7.6161
angles (deg): 90.00 90.00 90.00
Atoms (fractional coordinates):
Cs  0.6322  0.2500  0.9774
Cs  0.8678  0.7500  0.4774
Cs  0.3678  0.7500  0.0226
Cs  0.1322  0.2500  0.5226
P  0.4029  0.2500  0.2969
P  0.0971  0.7500  0.7969
P  0.5971  0.7500  0.7031
P  0.9029  0.2500  0.2031
Ca  0.0000  0.0000  0.0000
Ca  0.5000  0.5000  0.5000
Ca  0.5000  0.0000  0.5000
Ca  0.0000  0.5000  0.0000

Output
- M_tot (μB per formula unit) = 0.00
- density of states at the Fermi level (states/eV/f.u.) = 0.0
- SG = Pnma (62)
- DFT formation energy (meV/atom) = -220


(4)
A geometry-optimized CsCa2P structure. Source: Alexandria, functional PBE.

a b c (Å): 8.7922 8.7922 8.7973
angles (deg): 60.02 60.02 90.00
Atoms (fractional coordinates):
Cs  0.0000  0.0000  0.0000
Cs  0.7500  0.2500  0.5000
P  0.5000  0.5000  0.0000
P  0.2500  0.7500  0.5000
Ca  0.3756  0.1250  0.2500
Ca  0.3744  0.6250  0.2500
Ca  0.3750  0.6244  0.7500
Ca  0.8750  0.6256  0.7500

Output
- M_tot (μB per formula unit) = 0.00
- density of states at the Fermi level (states/eV/f.u.) = 3.0
- SG = I-42d (122)
- DFT formation energy (meV/atom) = -314


(5)
A geometry-optimized CsCaP structure. Source: Alexandria, functional PBE.

a b c (Å): 5.4023 8.4556 8.4561
angles (deg): 37.26 71.37 71.36
Atoms (fractional coordinates):
Cs  0.3918  0.1082  0.3918
Cs  0.8918  0.6082  0.8918
P  0.7158  0.2842  0.5620
P  0.5619  0.4381  0.7158
Ca  0.1387  0.3619  0.6381
Ca  0.6381  0.8613  0.1387

Output
- M_tot (μB per formula unit) = 0.00
- density of states at the Fermi level (states/eV/f.u.) = 1.7
- SG = Fmm2 (42)
- DFT formation energy (meV/atom) = -477


(6)
A geometry-optimized Cs2CaP structure. Source: Alexandria, functional PBE.

a b c (Å): 13.8783 13.8783 10.1854
angles (deg): 47.06 47.06 90.00
Atoms (fractional coordinates):
Cs  0.4517  0.1250  0.2500
Cs  0.2983  0.6250  0.2500
Cs  0.3750  0.5483  0.7500
Cs  0.8750  0.7017  0.7500
P  0.5000  0.5000  0.0000
P  0.2500  0.7500  0.5000
Ca  0.0000  0.0000  0.0000
Ca  0.7500  0.2500  0.5000

Output
- M_tot (μB per formula unit) = 0.00
- density of states at the Fermi level (states/eV/f.u.) = 2.4
- energy above the most stable polymorph in this dataset (meV per atom) = 0
- SG = I-42d (122)
- DFT formation energy (meV/atom) = -229


(7)
A geometry-optimized CsCaP structure. Source: Alexandria, functional PBE.

a b c (Å): 8.2875 5.1122 12.3966
angles (deg): 90.00 90.00 90.00
Atoms (fractional coordinates):
Cs  0.8916  0.2500  0.3741
Cs  0.6084  0.7500  0.8741
Cs  0.1084  0.7500  0.6259
Cs  0.3916  0.2500  0.1259
P  0.3132  0.2500  0.4261
P  0.1868  0.7500  0.9261
P  0.6868  0.7500  0.5739
P  0.8132  0.2500  0.0739
Ca  0.0529  0.2500  0.9113
Ca  0.4471  0.7500  0.4113
Ca  0.9471  0.7500  0.0887
Ca  0.5529  0.2500  0.5887

Output
- M_tot (μB per formula unit) = 0.00
- density of states at the Fermi level (states/eV/f.u.) = 0.0
- SG = Pnma (62)
- DFT formation energy (meV/atom) = -568


(8)
A geometry-optimized CsCa3P structure. Source: Alexandria, functional PBE.

a b c (Å): 5.8660 5.8660 5.8660
angles (deg): 90.00 90.00 90.00
Atoms (fractional coordinates):
Cs  0.5000  0.5000  0.5000
P  0.0000  0.0000  0.0000
Ca  0.0000  0.5000  0.0000
Ca  0.0000  0.0000  0.5000
Ca  0.5000  0.0000  0.0000

Output
- M_tot (μB per formula unit) = 0.00
- density of states at the Fermi level (states/eV/f.u.) = 4.5
- energy above the most stable polymorph in this dataset (meV per atom) = 0
- SG = Pm-3m (221)
- DFT formation energy (meV/atom) = -284


What is the formula in the third record?
CsCaP


Number 3 is which compound?
CsCaP